# 1
{"formula": "Mn3Co", "functional": "GGA-PBEsol", "state": "relaxed", "formation_enthalpy_0k_kj_per_mol_fu": 1, "space_group": "P6_3/mmc", "n_ef_per_ev_fu": 5.8, "final_energy_ev_per_atom": -9.2519, "lattice_angstrom": [[4.8860, 0.0000, 0.0000], [-2.4430, 4.2314, 0.0000], [0.0000, 0.0000, 7.8414]], "species": ["Mn", "Mn", "Mn", "Mn", "Mn", "Mn", "Mn", "Mn", "Mn", "Mn", "Mn", "Mn", "Co", "Co", "Co", "Co"], "frac_coords": [[0.0000, 0.5000, 0.0000], [0.0000, 0.5000, 0.5000], [0.1692, 0.3384, 0.2500], [0.1692, 0.8308, 0.2500], [0.3384, 0.1692, 0.7500], [0.5000, 0.0000, 0.0000], [0.5000, 0.0000, 0.5000], [0.5000, 0.5000, 0.0000], [0.5000, 0.5000, 0.5000], [0.6616, 0.8308, 0.2500], [0.8308, 0.1692, 0.7500], [0.8308, 0.6616, 0.7500], [0.0000, 0.0000, 0.0000], [0.0000, 0.0000, 0.5000], [0.3333, 0.6667, 0.7500], [0.6667, 0.3333, 0.2500]]}


# 2
{"formula": "MnCo5", "functional": "GGA-PBEsol", "state": "relaxed", "formation_enthalpy_0k_kj_per_mol_fu": 113, "space_group": "F-43m", "n_ef_per_ev_fu": 6.3, "final_energy_ev_per_atom": -7.8798, "lattice_angstrom": [[0.0000, 3.2277, 3.2277], [3.2277, 0.0000, 3.2277], [3.2277, 3.2277, 0.0000]], "species": ["Mn", "Co", "Co", "Co", "Co", "Co"], "frac_coords": [[0.0000, 0.0000, 0.0000], [0.3747, 0.3747, 0.3747], [0.3747, 0.3747, 0.8758], [0.3747, 0.8758, 0.3747], [0.7500, 0.7500, 0.7500], [0.8758, 0.3747, 0.3747]]}


# 3
{"formula": "MnCoMo2", "functional": "GGA-PBEsol", "state": "relaxed", "formation_enthalpy_0k_kj_per_mol_fu": 85, "space_group": "Imm2", "n_ef_per_ev_fu": 5.1, "final_energy_ev_per_atom": -10.0386, "relative_energy_ev_per_atom": 0.0918, "lattice_angstrom": [[-1.5241, 2.0752, 4.1194], [1.5241, -2.0752, 4.1194], [1.5241, 2.0752, -4.1194]], "species": ["Mn", "Co", "Mo", "Mo"], "frac_coords": [[0.0000, 0.0000, 0.0000], [0.7497, 0.2497, 0.5000], [0.2396, 0.7396, 0.5000], [0.4904, 0.4904, 0.0000]]}


# 4
{"formula": "MnCoMo2", "functional": "GGA-PBEsol", "state": "relaxed", "formation_enthalpy_0k_kj_per_mol_fu": 133, "space_group": "R3m", "n_ef_per_ev_fu": 4.4, "final_energy_ev_per_atom": -9.9141, "relative_energy_ev_per_atom": 0.2163, "lattice_angstrom": [[1.3194, 0.7618, 8.7114], [-1.3194, 0.7618, 8.7114], [0.0000, -1.5236, 8.7114]], "species": ["Mn", "Co", "Mo", "Mo"], "frac_coords": [[0.0000, 0.0000, 0.0000], [0.7396, 0.7396, 0.7396], [0.2501, 0.2501, 0.2501], [0.4874, 0.4874, 0.4874]]}


# 5
{"formula": "MnCoMo2", "functional": "GGA-PBEsol", "state": "relaxed", "formation_enthalpy_0k_kj_per_mol_fu": 49, "space_group": "I4/mmm", "n_ef_per_ev_fu": 4.0, "final_energy_ev_per_atom": -10.1304, "relative_energy_ev_per_atom": 0.0000, "lattice_angstrom": [[-1.8641, 1.8641, 3.6856], [1.8641, -1.8641, 3.6856], [1.8641, 1.8641, -3.6856]], "species": ["Mn", "Co", "Mo", "Mo"], "frac_coords": [[0.0000, 0.0000, 0.0000], [0.5000, 0.5000, 0.0000], [0.2500, 0.7500, 0.5000], [0.7500, 0.2500, 0.5000]]}


# 6
{"formula": "MnTl2CoMo", "functional": "GGA-PBEsol", "state": "relaxed", "formation_enthalpy_0k_kj_per_mol_fu": 788, "space_group": "P4/mmm", "n_ef_per_ev_fu": 8.3, "final_energy_ev_per_atom": -5.2712, "lattice_angstrom": [[5.2695, 0.0000, 0.0000], [0.0000, 5.2695, 0.0000], [0.0000, 0.0000, 4.3935]], "species": ["Mn", "Tl", "Tl", "Co", "Mo"], "frac_coords": [[0.0000, 0.0000, 0.0000], [0.0000, 0.5000, 0.5000], [0.5000, 0.0000, 0.5000], [0.5000, 0.5000, 0.0000], [0.0000, 0.0000, 0.5000]]}


# 7
{"formula": "Na2MnCoNiO6", "functional": "GGA-PBEsol", "state": "relaxed", "space_group": "Cm", "n_ef_per_ev_fu": 0.6, "e_form_raw_kj_per_mol_fu": -1487, "final_energy_ev_per_atom": -6.6695, "lattice_angstrom": [[7.4437, -1.4206, 0.0000], [7.4437, 1.4206, 0.0000], [-1.9159, 0.0000, 5.4366]], "species": ["Na", "Na", "Mn", "Co", "Ni", "O", "O", "O", "O", "O", "O"], "frac_coords": [[0.0000, 0.0000, 0.0000], [0.7071, 0.7071, 0.9626], [0.8525, 0.8525, 0.4755], [0.5191, 0.5191, 0.5058], [0.1828, 0.1828, 0.4799], [0.0925, 0.0925, 0.6946], [0.2818, 0.2818, 0.2797], [0.4269, 0.4269, 0.6725], [0.6012, 0.6012, 0.3200], [0.7634, 0.7634, 0.6438], [0.9446, 0.9446, 0.3203]]}


# 8
{"formula": "Na3MnCoNiO6", "functional": "GGA-PBEsol", "state": "relaxed", "space_group": "Cm", "n_ef_per_ev_fu": 2.7, "e_form_raw_kj_per_mol_fu": -1613, "final_energy_ev_per_atom": -6.3389, "lattice_angstrom": [[7.6472, -1.4554, 0.0000], [7.6472, 1.4554, 0.0000], [-1.7300, 0.0000, 5.2126]], "species": ["Na", "Na", "Na", "Mn", "Co", "Ni", "O", "O", "O", "O", "O", "O"], "frac_coords": [[0.0000, 0.0000, 0.0000], [0.3290, 0.3290, 0.9920], [0.6643, 0.6643, 0.0104], [0.4968, 0.4968, 0.4987], [0.1628, 0.1628, 0.5057], [0.8292, 0.8292, 0.4987], [0.0731, 0.0731, 0.6928], [0.2475, 0.2475, 0.3160], [0.4164, 0.4164, 0.6969], [0.5869, 0.5869, 0.3153], [0.7337, 0.7337, 0.6951], [0.9264, 0.9264, 0.2955]]}


# 9
{"formula": "MnNbCo2", "functional": "GGA-PBEsol", "state": "relaxed", "formation_enthalpy_0k_kj_per_mol_fu": -11, "space_group": "Fm-3m", "n_ef_per_ev_fu": 3.1, "final_energy_ev_per_atom": -9.0429, "lattice_angstrom": [[0.0000, 2.9432, 2.9432], [2.9432, 0.0000, 2.9432], [2.9432, 2.9432, 0.0000]], "species": ["Mn", "Nb", "Co", "Co"], "frac_coords": [[0.0000, 0.0000, 0.0000], [0.5000, 0.5000, 0.5000], [0.2500, 0.2500, 0.2500], [0.7500, 0.7500, 0.7500]]}


# 10
{"formula": "Mn2CoNi", "functional": "GGA-PBEsol", "state": "relaxed", "formation_enthalpy_0k_kj_per_mol_fu": 33, "space_group": "Fm-3m", "n_ef_per_ev_fu": 2.9, "final_energy_ev_per_atom": -8.2684, "relative_energy_ev_per_atom": 0.0941, "lattice_angstrom": [[0.0000, 2.8487, 2.8487], [2.8487, 0.0000, 2.8487], [2.8487, 2.8487, 0.0000]], "species": ["Mn", "Mn", "Co", "Ni"], "frac_coords": [[0.2500, 0.2500, 0.2500], [0.7500, 0.7500, 0.7500], [0.0000, 0.0000, 0.0000], [0.5000, 0.5000, 0.5000]]}


# 11
{"formula": "Mn2CoNi", "functional": "GGA-PBEsol", "state": "relaxed", "formation_enthalpy_0k_kj_per_mol_fu": 4, "space_group": "Pmm2", "n_ef_per_ev_fu": 4.9, "final_energy_ev_per_atom": -8.3436, "relative_energy_ev_per_atom": 0.0189, "lattice_angstrom": [[2.4132, 0.0000, 0.0000], [0.0000, 3.8966, 0.0000], [0.0000, 0.0000, 4.2921]], "species": ["Mn", "Mn", "Co", "Ni"], "frac_coords": [[0.0000, 0.0000, 0.0000], [0.0000, 0.5000, 0.3181], [0.5000, 0.0000, 0.4965], [0.5000, 0.5000, 0.8172]]}


# 12
{"formula": "Mn2CoNi", "functional": "GGA-PBEsol", "state": "relaxed", "formation_enthalpy_0k_kj_per_mol_fu": 77, "space_group": "P2/m", "n_ef_per_ev_fu": 6.5, "final_energy_ev_per_atom": -8.1557, "relative_energy_ev_per_atom": 0.2068, "lattice_angstrom": [[2.3787, 0.0000, 0.0000], [0.0000, 4.0304, 0.0000], [-0.5290, 0.0000, 4.4357]], "species": ["Mn", "Mn", "Co", "Ni"], "frac_coords": [[0.2343, 0.0000, 0.2520], [0.7657, 0.0000, 0.7480], [0.0000, 0.5000, 0.5000], [0.5000, 0.5000, 0.0000]]}


Number 1: spin magnetization 0.008 Bohr magnetons per cell. Number 2: spin magnetization 11.452 Bohr magnetons per cell. Number 3: spin magnetization 2.364 Bohr magnetons per cell. Number 4: spin magnetization 2.276 Bohr magnetons per cell. Number 5: spin magnetization 1.314 Bohr magnetons per cell. Number 6: spin magnetization 4.690 Bohr magnetons per cell. Number 7: spin magnetization 3.984 Bohr magnetons per cell. Number 8: spin magnetization 4.612 Bohr magnetons per cell. Number 9: spin magnetization 5.781 Bohr magnetons per cell. Number 10: spin magnetization 8.971 Bohr magnetons per cell. Number 11: spin magnetization 0.001 Bohr magnetons per cell. Number 12: spin magnetization 4.978 Bohr magnetons per cell.